Entry 1:
Below is a geometry-optimized Ag2BiSb structure, with properties calculated at the GGA-PBE level.

Cell and atoms, written as CIF:
```
data_Ag2BiSb
_chemical_formula_sum 'Ag2 Bi1 Sb1'
_symmetry_space_group_name_H-M 'P 4/m m m'
_symmetry_Int_Tables_number 123
_symmetry_space_group_name_Hall '-P 4 2'
_cell_length_a 3.851
_cell_length_b 3.851
_cell_length_c 6.460
_cell_angle_alpha 90.00
_cell_angle_beta 90.00
_cell_angle_gamma 90.00
loop_
_atom_site_label
_atom_site_type_symbol
_atom_site_fract_x
_atom_site_fract_y
_atom_site_fract_z
Ag1 Ag 0.000 0.000 0.233
Bi1 Bi 0.500 0.500 0.500
Sb1 Sb 0.500 0.500 0.000
```

Values from the calculation:
- Energy: -3.270 eV per atom
- Spin magnetization: 0.0000 μB per atom

=====

Entry 2:
Below is a geometry-optimized AgBi2Sb structure, with properties calculated at the GGA-PBE level.

Cell and atoms, written as CIF:
```
data_AgBi2Sb
_chemical_formula_sum 'Ag3 Bi6 Sb3'
_symmetry_space_group_name_H-M 'R -3 m'
_symmetry_Int_Tables_number 166
_symmetry_space_group_name_Hall '-R 3 2"'
_cell_length_a 4.3723
_cell_length_b 4.3723
_cell_length_c 21.2839
_cell_angle_alpha 90.00
_cell_angle_beta 90.00
_cell_angle_gamma 120.00
loop_
_atom_site_label
_atom_site_type_symbol
_atom_site_fract_x
_atom_site_fract_y
_atom_site_fract_z
Ag1 Ag 0.0000 0.0000 0.0000
Bi1 Bi 0.0000 0.0000 0.2580
Sb1 Sb 0.0000 0.0000 0.5000
```

Values from the calculation:
- Energy: -3.571 eV per atom
- Spin magnetization: 0.0000 μB per atom

=====

Entry 3:
Below is a geometry-optimized AgBi2Sb structure, with properties calculated at the GGA-PBE level.

Cell and atoms, written as CIF:
```
data_AgBi2Sb
_chemical_formula_sum 'Ag1 Bi2 Sb1'
_symmetry_space_group_name_H-M 'P 4/m m m'
_symmetry_Int_Tables_number 123
_symmetry_space_group_name_Hall '-P 4 2'
_cell_length_a 3.837
_cell_length_b 3.837
_cell_length_c 7.402
_cell_angle_alpha 90.00
_cell_angle_beta 90.00
_cell_angle_gamma 90.00
loop_
_atom_site_label
_atom_site_type_symbol
_atom_site_fract_x
_atom_site_fract_y
_atom_site_fract_z
Ag1 Ag 0.000 0.000 0.000
Bi1 Bi 0.500 0.500 0.233
Sb1 Sb 0.000 0.000 0.500
```

Values from the calculation:
- Energy: -3.488 eV per atom
- Spin magnetization: 0.0000 μB per atom

=====

Entry 4:
Below is a geometry-optimized Ag2BiSb2 structure, with properties calculated at the GGA-PBE level.

Cell and atoms, written as CIF:
```
data_Ag2BiSb2
_chemical_formula_sum 'Ag4 Bi2 Sb4'
_symmetry_space_group_name_H-M 'P 4/m b m'
_symmetry_Int_Tables_number 127
_symmetry_space_group_name_Hall '-P 4 2ab'
_cell_length_a 8.773
_cell_length_b 8.773
_cell_length_c 3.297
_cell_angle_alpha 90.00
_cell_angle_beta 90.00
_cell_angle_gamma 90.00
loop_
_atom_site_label
_atom_site_type_symbol
_atom_site_fract_x
_atom_site_fract_y
_atom_site_fract_z
Ag1 Ag 0.116 0.384 0.000
Bi1 Bi 0.000 0.000 0.500
Sb1 Sb 0.181 0.681 0.500
```

Values from the calculation:
- Energy: -3.432 eV per atom
- Spin magnetization: 0.0000 μB per atom
- Energy relative to the lowest polymorph listed for this composition: 0.0 kJ per mole of atoms

=====

Entry 5:
Below is a geometry-optimized Ag4BiSb2 structure, with properties calculated at the GGA-PBE level.

Cell and atoms, written as CIF:
```
data_Ag4BiSb2
_chemical_formula_sum 'Ag8 Bi2 Sb4'
_symmetry_space_group_name_H-M 'I 4/m m m'
_symmetry_Int_Tables_number 139
_symmetry_space_group_name_Hall '-I 4 2'
_cell_length_a 5.481
_cell_length_b 5.481
_cell_length_c 14.089
_cell_angle_alpha 90.00
_cell_angle_beta 90.00
_cell_angle_gamma 90.00
loop_
_atom_site_label
_atom_site_type_symbol
_atom_site_fract_x
_atom_site_fract_y
_atom_site_fract_z
Ag1 Ag 0.000 0.000 0.201
Ag2 Ag 0.000 0.500 0.000
Bi1 Bi 0.000 0.000 0.000
Sb1 Sb 0.000 0.000 0.393
```

Values from the calculation:
- Energy: -2.810 eV per atom
- Spin magnetization: 0.0000 μB per atom

=====

Entry 6:
Below is a geometry-optimized Ag2BiSb structure, with properties calculated at the GGA-PBE level.

Cell and atoms, written as CIF:
```
data_Ag2BiSb
_chemical_formula_sum 'Ag2 Bi1 Sb1'
_symmetry_space_group_name_H-M 'P 4/m m m'
_symmetry_Int_Tables_number 123
_symmetry_space_group_name_Hall '-P 4 2'
_cell_length_a 4.696
_cell_length_b 4.696
_cell_length_c 4.343
_cell_angle_alpha 90.00
_cell_angle_beta 90.00
_cell_angle_gamma 90.00
loop_
_atom_site_label
_atom_site_type_symbol
_atom_site_fract_x
_atom_site_fract_y
_atom_site_fract_z
Ag1 Ag 0.000 0.500 0.000
Bi1 Bi 0.000 0.000 0.500
Sb1 Sb 0.500 0.500 0.500
```

Values from the calculation:
- Energy: -3.285 eV per atom
- Spin magnetization: 0.0000 μB per atom

=====

Entry 7:
Below is a geometry-optimized Ag4BiSb structure, with properties calculated at the GGA-PBE level.

Cell and atoms, written as CIF:
```
data_Ag4BiSb
_chemical_formula_sum 'Ag16 Bi4 Sb4'
_symmetry_space_group_name_H-M 'F -4 3 m'
_symmetry_Int_Tables_number 216
_symmetry_space_group_name_Hall 'F -4 2 3'
_cell_length_a 8.046
_cell_length_b 8.046
_cell_length_c 8.046
_cell_angle_alpha 90.00
_cell_angle_beta 90.00
_cell_angle_gamma 90.00
loop_
_atom_site_label
_atom_site_type_symbol
_atom_site_fract_x
_atom_site_fract_y
_atom_site_fract_z
Ag1 Ag 0.125 0.125 0.125
Bi1 Bi 0.250 0.250 0.750
Sb1 Sb 0.000 0.000 0.500
```

Values from the calculation:
- Energy: -3.146 eV per atom
- Spin magnetization: 0.0000 μB per atom

=====

Entry 8:
Below is a geometry-optimized AgBiSb3 structure, with properties calculated at the GGA-PBE level.

Cell and atoms, written as CIF:
```
data_AgBiSb3
_chemical_formula_sum 'Ag1 Bi1 Sb3'
_symmetry_space_group_name_H-M 'P m -3 m'
_symmetry_Int_Tables_number 221
_symmetry_space_group_name_Hall '-P 4 2 3'
_cell_length_a 5.838
_cell_length_b 5.838
_cell_length_c 5.838
_cell_angle_alpha 90.00
_cell_angle_beta 90.00
_cell_angle_gamma 90.00
loop_
_atom_site_label
_atom_site_type_symbol
_atom_site_fract_x
_atom_site_fract_y
_atom_site_fract_z
Ag1 Ag 0.000 0.000 0.000
Bi1 Bi 0.500 0.500 0.500
Sb1 Sb 0.000 0.500 0.500
```

Values from the calculation:
- Energy: -2.741 eV per atom
- Spin magnetization: 0.0000 μB per atom
- Energy relative to the lowest polymorph listed for this composition: 48.4 kJ per mole of atoms

=====

Entry 9:
Below is a geometry-optimized AgBi2Sb2 structure, with properties calculated at the GGA-PBE level.

Cell and atoms, written as CIF:
```
data_AgBi2Sb2
_chemical_formula_sum 'Ag2 Bi4 Sb4'
_symmetry_space_group_name_H-M 'I 4/m m m'
_symmetry_Int_Tables_number 139
_symmetry_space_group_name_Hall '-I 4 2'
_cell_length_a 6.092
_cell_length_b 6.092
_cell_length_c 8.945
_cell_angle_alpha 90.00
_cell_angle_beta 90.00
_cell_angle_gamma 90.00
loop_
_atom_site_label
_atom_site_type_symbol
_atom_site_fract_x
_atom_site_fract_y
_atom_site_fract_z
Ag1 Ag 0.000 0.000 0.000
Bi1 Bi 0.000 0.000 0.322
Sb1 Sb 0.000 0.500 0.250
```

Values from the calculation:
- Energy: -3.463 eV per atom
- Spin magnetization: 0.0000 μB per atom
- Energy relative to the lowest polymorph listed for this composition: 6.6 kJ per mole of atoms

=====

Entry 10:
Below is a geometry-optimized AgBi2Sb structure, with properties calculated at the GGA-PBE level.

Cell and atoms, written as CIF:
```
data_AgBi2Sb
_chemical_formula_sum 'Ag3 Bi6 Sb3'
_symmetry_space_group_name_H-M 'R 3 m'
_symmetry_Int_Tables_number 160
_symmetry_space_group_name_Hall 'R 3 -2"'
_cell_length_a 4.5875
_cell_length_b 4.5875
_cell_length_c 19.8898
_cell_angle_alpha 90.00
_cell_angle_beta 90.00
_cell_angle_gamma 120.00
loop_
_atom_site_label
_atom_site_type_symbol
_atom_site_fract_x
_atom_site_fract_y
_atom_site_fract_z
Ag1 Ag 0.0000 0.0000 0.0000
Bi1 Bi 0.0000 0.0000 0.4031
Bi2 Bi 0.0000 0.0000 0.5975
Sb1 Sb 0.0000 0.0000 0.8350
```

Values from the calculation:
- Energy: -3.530 eV per atom
- Spin magnetization: 0.0000 μB per atom

=====

Entry 11:
Below is a geometry-optimized Ag2BiSb structure, with properties calculated at the GGA-PBE level.

Cell and atoms, written as CIF:
```
data_Ag2BiSb
_chemical_formula_sum 'Ag8 Bi4 Sb4'
_symmetry_space_group_name_H-M 'I -4 2 d'
_symmetry_Int_Tables_number 122
_symmetry_space_group_name_Hall 'I -4 2bw'
_cell_length_a 8.006
_cell_length_b 8.006
_cell_length_c 6.282
_cell_angle_alpha 90.00
_cell_angle_beta 90.00
_cell_angle_gamma 90.00
loop_
_atom_site_label
_atom_site_type_symbol
_atom_site_fract_x
_atom_site_fract_y
_atom_site_fract_z
Ag1 Ag 0.238 0.750 0.125
Bi1 Bi 0.000 0.000 0.500
Sb1 Sb 0.000 0.000 0.000
```

Values from the calculation:
- Energy: -3.194 eV per atom
- Spin magnetization: 0.0000 μB per atom

=====

Entry 12:
Below is a geometry-optimized AgBi2Sb structure, with properties calculated at the GGA-PBE level.

Cell and atoms, written as CIF:
```
data_AgBi2Sb
_chemical_formula_sum 'Ag4 Bi8 Sb4'
_symmetry_space_group_name_H-M 'I -4 2 d'
_symmetry_Int_Tables_number 122
_symmetry_space_group_name_Hall 'I -4 2bw'
_cell_length_a 6.729
_cell_length_b 6.729
_cell_length_c 13.412
_cell_angle_alpha 90.00
_cell_angle_beta 90.00
_cell_angle_gamma 90.00
loop_
_atom_site_label
_atom_site_type_symbol
_atom_site_fract_x
_atom_site_fract_y
_atom_site_fract_z
Ag1 Ag 0.000 0.000 0.000
Bi1 Bi 0.229 0.250 0.125
Sb1 Sb 0.000 0.000 0.500
```

Values from the calculation:
- Energy: -3.474 eV per atom
- Spin magnetization: 0.0000 μB per atom

=====

no.,formation energy (no corrections) (eV per atom),DOS at the Fermi energy (states/eV/cell),calculated volume (Å³ per cell)
1,0.156,2.5,95.8
2,0.112,7.0,352.4
3,0.196,2.3,109.0
4,0.134,4.5,253.8
5,0.551,9.2,423.2
6,0.141,1.4,95.8
7,0.088,11.1,521.0
8,1.079,7.2,199.0
9,0.308,5.9,331.9
10,0.154,6.5,362.5
11,0.233,9.9,402.6
12,0.210,2.7,607.3